La2FeAgN (GGA-PBE, relaxed); total energy = -6.490 eV per atom; M_tot = 0.00 μB per formula unit; N(E_F) = 0.4998 states/eV/atom; raw formation energy = -0.5911 eV per atom; V = 20.6 A^3/atom
1.0
5.331 0.000 0.000
0.000 5.331 0.000
0.000 0.000 3.624
Ag N Fe La
1 1 1 2
direct
0.500 0.500 0.500
0.000 0.000 0.000
0.000 0.000 0.500
0.500 0.000 0.000
0.000 0.500 0.000